Record 1
DFT (PBE) results for a relaxed BSeBr2 crystal.

Properties
- total energy (eV per cell) = -31.09
- energy relative to the lowest polymorph listed for this composition (eV per formula unit) = 3.216

```
16
Lattice="7.028 0.000 0.000 0.000 7.028 0.000 0.000 0.000 7.028" Properties=species:S:1:pos:R:3 pbc="T T T"
B 0.000 0.000 0.000
B 0.000 3.514 3.514
B 3.514 0.000 3.514
B 3.514 3.514 0.000
Se 0.000 0.000 3.514
Se 0.000 3.514 0.000
Se 3.514 0.000 0.000
Se 3.514 3.514 3.514
Br 1.757 1.757 1.757
Br 1.757 1.757 5.271
Br 1.757 5.271 1.757
Br 1.757 5.271 5.271
Br 5.271 1.757 1.757
Br 5.271 1.757 5.271
Br 5.271 5.271 1.757
Br 5.271 5.271 5.271
```


Record 2
DFT (PBE) results for a relaxed BSeBr2 crystal.

Properties
- total energy (eV per cell) = -32.96
- energy relative to the lowest polymorph listed for this composition (eV per formula unit) = 0.000

```
12
Lattice="3.512 0.000 0.000 -1.756 3.042 0.000 0.000 0.000 28.009" Properties=species:S:1:pos:R:3 pbc="T T T"
B 0.000 0.000 0.000
B 0.000 2.028 18.673
B 1.756 1.014 9.336
Se 0.000 0.000 14.005
Se 0.000 2.028 4.668
Se 1.756 1.014 23.341
Br 0.000 0.000 1.810
Br 0.000 0.000 26.199
Br 0.000 2.028 16.863
Br 0.000 2.028 20.483
Br 1.756 1.014 7.526
Br 1.756 1.014 11.147
```


Record 3
DFT (PBE) results for a relaxed BSeBr2 crystal.

Properties
- total energy (eV per cell) = -28.84
- energy relative to the lowest polymorph listed for this composition (eV per formula unit) = 1.373

```
12
Lattice="3.575 0.000 0.000 -1.787 3.096 0.000 0.000 0.000 25.284" Properties=species:S:1:pos:R:3 pbc="T T T"
B 0.000 0.000 0.000
B 0.000 2.064 16.856
B 1.787 1.032 8.428
Se 0.000 0.000 12.642
Se 0.000 2.064 4.214
Se 1.787 1.032 21.070
Br 0.000 0.000 10.031
Br 0.000 0.000 15.254
Br 0.000 2.064 1.603
Br 0.000 2.064 6.826
Br 1.787 1.032 18.459
Br 1.787 1.032 23.682
```


Record 4
DFT (PBE) results for a relaxed B2Se2Br crystal.

Properties
- total energy (eV per cell) = -35.88
- energy relative to the lowest polymorph listed for this composition (eV per formula unit) = 0.025

```
10
Lattice="4.339 0.000 0.000 0.000 4.339 0.000 0.000 0.000 7.998" Properties=species:S:1:pos:R:3 pbc="T T T"
B 0.000 0.000 0.907
B 0.000 0.000 7.090
B 2.169 2.169 3.092
B 2.169 2.169 4.906
Se 0.000 2.169 1.999
Se 0.000 2.169 5.998
Se 2.169 0.000 1.999
Se 2.169 0.000 5.998
Br 0.000 0.000 3.999
Br 2.169 2.169 0.000
```


Record 5
DFT (PBE) results for a relaxed BSeBr2 crystal.

Properties
- total energy (eV per cell) = -40.55
- energy relative to the lowest polymorph listed for this composition (eV per formula unit) = 0.851

```
16
Lattice="7.028 0.000 0.000 0.000 7.028 0.000 0.000 0.000 9.921" Properties=species:S:1:pos:R:3 pbc="T T T"
B 0.000 0.000 0.000
B 0.000 3.514 2.480
B 3.514 0.000 7.441
B 3.514 3.514 4.961
Se 0.000 0.000 4.961
Se 0.000 3.514 7.441
Se 3.514 0.000 2.480
Se 3.514 3.514 0.000
Br 0.010 5.271 1.240
Br 1.757 0.010 8.681
Br 1.757 3.504 3.720
Br 3.504 5.271 6.201
Br 3.524 1.757 6.201
Br 5.271 3.524 3.720
Br 5.271 7.018 8.681
Br 7.018 1.757 1.240
```


Record 6
DFT (PBE) results for a relaxed BSeBr3 crystal.

Properties
- total energy (eV per cell) = -11.11
- energy relative to the lowest polymorph listed for this composition (eV per formula unit) = 0.000

```
5
Lattice="4.781 0.000 0.000 0.000 4.781 0.000 0.000 0.000 4.781" Properties=species:S:1:pos:R:3 pbc="T T T"
B 0.000 0.000 0.000
Se 2.391 2.391 2.391
Br 0.000 0.000 2.391
Br 0.000 2.391 0.000
Br 2.391 0.000 0.000
```


Record 7
DFT (PBE) results for a relaxed B2Se4Br crystal.

Properties
- total energy (eV per cell) = -58.43

```
14
Lattice="6.083 0.000 0.000 0.602 6.301 0.000 2.071 1.121 14.162" Properties=species:S:1:pos:R:3 pbc="T T T"
B 0.000 0.000 0.000
B 2.361 4.088 14.154
B 3.115 5.601 7.252
B 6.059 6.485 7.351
Se 2.752 4.246 8.471
Se 3.499 1.277 12.864
Se 3.734 3.667 12.866
Se 3.712 0.574 6.420
Se 5.283 1.173 8.944
Se 5.313 1.573 0.858
Se 5.781 4.704 0.689
Se 7.378 5.349 6.342
Br 7.170 1.078 10.432
Br 6.505 0.535 4.280
```


Record 8
DFT (PBE) results for a relaxed B2SeBr crystal.

Properties
- total energy (eV per cell) = -43.39
- energy relative to the lowest polymorph listed for this composition (eV per formula unit) = 2.532

```
16
Lattice="6.243 0.000 0.000 0.000 6.243 0.000 0.000 0.000 6.243" Properties=species:S:1:pos:R:3 pbc="T T T"
B 1.561 1.561 1.561
B 1.561 1.561 4.682
B 1.561 4.682 1.561
B 1.561 4.682 4.682
B 4.682 1.561 1.561
B 4.682 1.561 4.682
B 4.682 4.682 1.561
B 4.682 4.682 4.682
Se 0.000 0.000 0.000
Se 0.000 3.122 3.122
Se 3.122 0.000 3.122
Se 3.122 3.122 0.000
Br 0.000 0.000 3.122
Br 0.000 3.122 0.000
Br 3.122 0.000 0.000
Br 3.122 3.122 3.122
```